Material: Li4NbCrW2O12
Method: DFT, GGA+U
State: relaxed

Unit cell a=5.1722 b=5.4802 c=7.5365 alpha=94.44 beta=90.04 gamma=90.26
Closest atoms and distances in Å follow each position.
Fractional positions:
O (0.3728, 0.5062, 0.7523)  1 Nb 1.91, 1 Li 2.06, 1 W 2.07
Nb (0.5034, 0.4836, 0.5145)  5 O 1.91-2.09
Li (0.0029, 0.4104, 0.2742)  4 O 1.99-2.23
O (0.1783, 0.6898, 0.4338)  1 W 1.87, 1 Li 2.08
O (0.6229, 0.4988, 0.2506)  1 W 1.91, 1 Li 2.04, 1 Nb 2.09
O (0.3019, 0.1933, 0.4329)  1 Nb 1.96, 1 W 2.05, 1 Li 2.08
O (0.8162, 0.3139, 0.5584)  1 Nb 1.91, 1 W 2.09, 1 Li 2.12
W (0.9969, 0.9777, 0.4971)  6 O 1.87-2.09
O (0.6914, 0.2049, 0.9410)  1 W 1.95, 1 Li 2.00, 1 Cr 2.04
O (0.8001, 0.6893, 0.9353)  1 W 1.92, 1 Cr 2.00, 1 Li 2.04
Li (0.5032, 0.0601, 0.2080)  3 O 1.98-2.08
O (0.8833, 0.0185, 0.2570)  1 W 1.93, 1 Li 2.02, 1 Cr 2.04
Li (0.4957, 0.9422, 0.7981)  3 O 2.00-2.10
W (0.5075, 0.5078, 0.0108)  6 O 1.91-2.07
O (0.6839, 0.8217, 0.5608)  1 W 1.91, 1 Nb 2.08, 1 Li 2.10
O (0.2026, 0.3129, 0.0546)  1 W 1.94, 1 Li 1.99, 1 Cr 2.03
O (0.1161, 0.0123, 0.7379)  1 W 1.91, 1 Cr 2.06, 1 Li 2.06
O (0.3213, 0.8097, 0.0497)  1 W 1.92, 1 Li 1.98, 1 Cr 2.00
Cr (0.0016, 0.9972, 0.9981)  6 O 2.00-2.06
Li (0.9978, 0.4074, 0.8063)  6 O 2.04-2.27

Output
As for the volume: 213 Å³ per cell. The calculation puts the total energy at -7.1291 eV per atom.